1.
Material: TlInCu2
Method: DFT, GGA-PBE
State: optimized geometry

The structure belongs to space group Pmmm (No. 47); the cell edges are 3.415, 4.497 and 4.940 Å and the angles 90.00°, 90.00° and 90.00°. The asymmetric unit holds Tl at (0.000, 0.000, 0.000), In at (0.000, 0.500, 0.500), Cu at (0.500, 0.000, 0.500) and Cu at (0.500, 0.500, 0.000).

The value obtained for the energy relative to the lowest polymorph listed for this composition is 0.1181 eV/atom. The calculation puts the density of states at the Fermi level at 2.12 states/eV/f.u. The value obtained for the energy relative to the elements is 105 kJ/mol of formula units.


2.
Material: Tl2InCu
Method: DFT, GGA-PBE
State: optimized geometry

The structure belongs to space group Cmm2 (No. 35); the cell edges are 4.673, 4.715 and 9.093 Å and the angles 90.00°, 90.00° and 90.00°. The asymmetric unit holds Tl at (0.000, 0.000, 0.000), Tl at (0.000, 0.500, 0.325), In at (0.000, 0.000, 0.618) and Cu at (0.000, 0.500, 0.787).

The calculation puts the density of states at the Fermi level at 2.04 states/eV/f.u. The value obtained for the energy relative to the elements is 46 kJ/mol of formula units.


3.
Material: TlInCu2
Method: DFT, GGA-PBE
State: optimized geometry

The structure belongs to space group C2/m (No. 12); the cell edges are 7.309, 6.155 and 3.399 Å and the angles 90.00°, 97.97° and 90.00°. The asymmetric unit holds Tl at (0.000, 0.000, 0.000), In at (0.000, 0.500, 0.000) and Cu at (0.250, 0.250, 0.500).

The value obtained for the energy relative to the lowest polymorph listed for this composition is 0.1069 eV/atom. The calculation puts the density of states at the Fermi level at 0.78 states/eV/f.u. The value obtained for the energy relative to the elements is 100 kJ/mol of formula units.


4.
Material: Tl2InCu
Method: DFT, GGA-PBE
State: optimized geometry

The structure belongs to space group I-42d (No. 122); the cell edges are 4.452, 4.452 and 21.181 Å and the angles 90.00°, 90.00° and 90.00°. The asymmetric unit holds Tl at (0.236, 0.250, 0.125), In at (0.000, 0.000, 0.500) and Cu at (0.000, 0.000, 0.000).

The calculation puts the density of states at the Fermi level at 1.96 states/eV/f.u. The value obtained for the energy relative to the elements is 123 kJ/mol of formula units.